First-principles (PBE) data for PmZrNiRu after structural relaxation, as listed in the Alexandria database.

a b c (Å): 4.761 4.761 4.761
angles (deg): 60.00 60.00 60.00
Fractional positions:
Pm (0.000, 0.000, 0.000)
Ru (0.750, 0.750, 0.750)
Zr (0.500, 0.500, 0.500)
Ni (0.250, 0.250, 0.250)


First-principles (PBE) data for Cr2IrAu after structural relaxation, as listed in the Alexandria database.

a b c (Å): 2.719 3.819 5.445
angles (deg): 90.00 90.00 90.00
Fractional positions:
Ir (0.500, 0.500, 0.250)
Cr (0.000, 0.000, 0.462)
Cr (0.000, 0.000, 0.038)
Au (0.500, 0.500, 0.750)


First-principles (PBE) data for TmMnFeSi3 after structural relaxation, as listed in the Alexandria database.

* ΔE_f (raw): -0.28 eV/atom

a b c (Å): 5.985 5.762 6.270
angles (deg): 117.35 90.00 90.00
Fractional positions:
Tm (0.250, 0.739, 0.478)
Tm (0.750, 0.261, 0.522)
Si (0.250, 0.197, 0.393)
Si (0.000, 0.296, 0.000)
Si (0.750, 0.803, 0.607)
Si (0.500, 0.296, 0.000)
Si (0.500, 0.704, 0.000)
Si (0.000, 0.704, 0.000)
Fe (0.750, 0.614, 0.229)
Fe (0.250, 0.386, 0.771)
Mn (0.750, 0.992, 0.985)
Mn (0.250, 0.008, 0.015)


First-principles (PBE) data for KNa2GePt after structural relaxation, as listed in the Alexandria database.

a b c (Å): 5.604 5.604 4.736
angles (deg): 90.00 90.00 90.00
Fractional positions:
Na (0.500, 0.000, 0.000)
Na (0.000, 0.500, 0.000)
Pt (0.000, 0.000, 0.500)
K (0.500, 0.500, 0.500)
Ge (0.000, 0.000, 0.000)


Total magnetic moment / μB per atom: 0.000; 0.000; 0.000; 0.000
D(E_F) / states/eV/cell: 3.49; 4.66; 2.49; 1.88
Final energy / eV per atom: -7.353; -7.734; -6.679; -3.015